{"formula": "SnAs2S", "functional": "GGA-PBE", "state": "optimized geometry", "final_energy_ev_per_atom": -4.12, "e_above_lowest_polymorph_kj_per_mol_atoms": 0.0, "formation_energy_uncorrected_ev_per_atom": 0.23, "magmom_total_mub_per_cell": 0.000, "lattice_angstrom": [[-2.767, 2.767, 7.175], [2.767, -2.767, 7.175], [2.767, 2.767, -7.175]], "species": ["Sn", "Sn", "As", "As", "As", "As", "S", "S"], "fractional_positions": [[0.000, 0.000, 0.000], [0.750, 0.250, 0.500], [0.179, 0.625, 0.054], [0.375, 0.429, 0.554], [0.571, 0.125, 0.946], [0.875, 0.821, 0.446], [0.250, 0.750, 0.500], [0.500, 0.500, 0.000]]}